Record 1
11
Lattice="-1.791 4.694 11.907 1.791 -4.694 11.907 1.791 4.694 -11.907" Properties=species:S:1:pos:R:3 comment="La5Tb4Nd2 (PBE, relaxed)" n_ef_per_ev_atom=1.4851 total_energy_ev_per_atom=-4.6270 pbc="T T T"
La 0.000 0.000 0.000
La 1.791 1.880 -3.466
La 1.791 1.880 3.466
La 0.000 2.814 8.442
La 0.000 2.814 15.373
Tb 1.791 2.941 0.000
Tb 1.791 0.000 9.620
Tb 0.000 4.694 2.287
Tb 0.000 1.752 11.907
Nd 1.791 0.000 6.390
Nd 0.000 4.694 5.517

***

Record 2
16
Lattice="4.485 2.589 8.238 -4.485 2.589 8.238 0.000 -5.179 8.238" Properties=species:S:1:pos:R:3 comment="K4Dy3TmTe8 (PBE, relaxed)" formation_energy_uncorrected_ev_per_atom=-1.390 pbc="T T T"
K 0.000 0.000 0.000
K -2.242 -1.295 8.238
K -2.242 1.295 16.476
K 0.000 2.589 8.238
Dy -4.485 0.000 12.357
Dy -2.242 1.295 4.119
Dy 2.242 1.295 4.119
Tm 0.000 0.000 12.357
Te 0.000 0.000 5.839
Te -2.225 -1.285 14.066
Te 0.000 -2.569 10.648
Te -2.225 1.285 10.648
Te 2.225 -1.285 14.066
Te 0.000 2.569 14.066
Te 2.225 1.285 10.648
Te 0.000 0.000 18.875

***

Record 3
16
Lattice="4.306 2.486 7.266 -4.306 2.486 7.266 0.000 -4.973 7.266" Properties=species:S:1:pos:R:3 comment="Pm8SnTe4P3 (PBE, relaxed)" formation_energy_uncorrected_ev_per_atom=-1.446 n_ef_per_ev_atom=0.3312 pbc="T T T"
Pm -2.233 -1.289 12.512
Pm 0.000 0.000 5.175
Pm 0.000 -2.578 9.287
Pm -2.233 1.289 9.287
Pm 2.233 -1.289 12.512
Pm 0.000 2.578 12.512
Pm 0.000 0.000 16.624
Pm 2.233 1.289 9.287
Sn 0.000 0.000 10.900
Te 0.000 0.000 0.000
Te -2.153 -1.243 7.266
Te -2.153 1.243 14.533
Te 0.000 2.486 7.266
P -4.306 0.000 10.900
P -2.153 1.243 3.633
P 2.153 1.243 3.633

***

Record 4
4
Lattice="2.979 0.000 0.000 0.000 2.979 0.000 0.000 0.000 6.877" Properties=species:S:1:pos:R:3 comment="ZrAlCu2 (PBE, relaxed)" n_ef_per_ev_atom=0.5506 total_energy_ev_per_atom=-5.3319 pbc="T T T"
Zr 0.000 0.000 0.000
Al 0.000 0.000 3.439
Cu 1.490 1.490 1.962
Cu 1.490 1.490 4.915

***

Record 5
6
Lattice="0.000 4.251 4.251 4.251 0.000 4.251 4.251 4.251 0.000" Properties=species:S:1:pos:R:3 comment="PmLuIn4 (PBE, relaxed)" n_ef_per_ev_atom=0.7115 total_energy_ev_per_atom=-3.6797 pbc="T T T"
Pm 0.000 0.000 0.000
Lu 6.377 6.377 6.377
In 3.189 3.189 3.189
In 5.313 5.313 3.189
In 5.313 3.189 5.313
In 3.189 5.313 5.313

***

Record 6
4
Lattice="-1.499 2.200 6.252 1.499 -2.200 6.252 1.499 2.200 -6.252" Properties=species:S:1:pos:R:3 comment="ZrAl2Cl (PBE, relaxed)" formation_energy_uncorrected_ev_per_atom=-0.252 n_ef_per_ev_atom=0.5067 pbc="T T T"
Zr 0.000 0.000 0.000
Al 1.499 0.000 2.652
Al 0.000 2.200 3.600
Cl 0.000 0.000 6.252